A geometry-optimized Hf2UP structure. Source: Alexandria via LeMat-Bulk, functional GGA-PBE.

Computed properties:
For the calculated formation energy, the calculation gives -0.0105 eV per atom. As for the density of states at the Fermi level: 6.3 states/eV/f.u. The mass density comes out at 11.55 g cm⁻³. The crystal system is trigonal.

a = 9.4848 Å, b = 9.4848 Å, c = 9.4848 Å
α = 20.31°, β = 20.31°, γ = 20.31°
Closest atoms and distances in Å follow each position.
Fractional positions:
Hf 0.1087 0.1087 0.1087  3 P 2.52
Hf 0.8913 0.8913 0.8913  3 P 2.52
U 0.0000 0.0000 0.0000  2 Hf 3.03, 6 U 3.34
P 0.5000 0.5000 0.5000  6 Hf 2.52

=====

A geometry-optimized CrGaBi2Se structure. Source: Alexandria via LeMat-Bulk, functional GGA-PBE.

Computed properties:
As for the density of states at the Fermi level: 2.7 states/eV/f.u. The mass density comes out at 6.76 g cm⁻³. For the uncorrected formation energy, the calculation gives 1.188 eV/atom. The crystal system is tetragonal.

a = 5.5669 Å, b = 5.5669 Å, c = 4.9060 Å
α = 90.00°, β = 90.00°, γ = 90.00°
Closest atoms and distances in Å follow each position.
Fractional positions:
Cr 0.0000 0.0000 0.0000  8 Bi 3.71, 4 Ga 3.94
Ga 0.5000 0.5000 0.0000  2 Se 2.45
Bi 0.0000 0.5000 0.5000  2 Se 2.78
Bi 0.5000 0.0000 0.5000  2 Se 2.78
Se 0.5000 0.5000 0.5000  2 Ga 2.45

=====

A geometry-optimized KSr2AlPt structure. Source: Alexandria via LeMat-Bulk, functional GGA-PBE.

Computed properties:
For the calculated formation energy, the calculation gives -0.3569 eV per atom. As for the density of states at the Fermi level: 4.0 states/eV/f.u. The mass density comes out at 3.98 g cm⁻³. The crystal system is tetragonal.

a = 6.0650 Å, b = 6.0650 Å, c = 4.9444 Å
α = 90.00°, β = 90.00°, γ = 90.00°
Closest atoms and distances in Å follow each position.
Fractional positions:
K 0.0000 0.0000 0.0000  8 Sr 3.91, 4 Al 4.29
Sr 0.0000 0.5000 0.5000  2 Pt 3.03
Sr 0.5000 0.0000 0.5000  2 Pt 3.03
Al 0.5000 0.5000 0.0000  2 Pt 2.47
Pt 0.5000 0.5000 0.5000  2 Al 2.47

=====

A geometry-optimized Cs2SnSbAu6 structure. Source: Alexandria via LeMat-Bulk, functional GGA-PBE.

Computed properties:
As for the density of states at the Fermi level: 1.9 states/eV/f.u. The mass density comes out at 8.75 g cm⁻³. For the uncorrected formation energy, the calculation gives -0.179 eV/atom. The crystal system is monoclinic.

a = 7.6690 Å, b = 7.6690 Å, c = 7.6537 Å
α = 119.63°, β = 119.63°, γ = 90.54°
Closest atoms and distances in Å follow each position.
Fractional positions:
Cs 0.2500 0.7500 0.0000  12 Au 3.83-3.85
Cs 0.7500 0.2500 0.0000  12 Au 3.83-3.85
Sn 0.0000 0.0000 0.5000  6 Au 2.69-2.72
Sb 0.5000 0.5000 0.5000  6 Au 2.71-2.73
Au 0.2492 0.2492 0.4998  1 Sn 2.69, 1 Sb 2.71
Au 0.2494 0.2494 0.9990  1 Sn 2.72, 1 Sb 2.73
Au 0.2495 0.7505 0.5000  1 Sn 2.72, 1 Sb 2.73
Au 0.7505 0.2495 0.5000  1 Sn 2.72, 1 Sb 2.73
Au 0.7506 0.7506 0.0010  1 Sn 2.72, 1 Sb 2.73
Au 0.7508 0.7508 0.5002  1 Sn 2.69, 1 Sb 2.71

=====

A geometry-optimized Tl2AgSe4 structure. Source: Alexandria via LeMat-Bulk, functional GGA-PBE.

Computed properties:
As for the density of states at the Fermi level: 3.5 states/eV/f.u. The mass density comes out at 6.86 g cm⁻³. For the uncorrected formation energy, the calculation gives -0.129 eV/atom. The crystal system is orthorhombic.

a = 8.7236 Å, b = 8.7236 Å, c = 8.7236 Å
α = 110.52°, β = 84.83°, γ = 137.70°
Closest atoms and distances in Å follow each position.
Fractional positions:
Tl 0.1044 0.2081 0.3125  8 Se 3.27-3.66, 2 Ag 3.56
Tl 0.3956 0.7081 0.1037  8 Se 3.27-3.66, 2 Ag 3.56
Tl 0.6044 0.2919 0.8963  8 Se 3.27-3.66, 2 Ag 3.56
Tl 0.8956 0.7919 0.6875  8 Se 3.27-3.66, 2 Ag 3.56
Ag 0.2500 0.7500 0.5000  4 Se 2.72
Ag 0.7500 0.2500 0.5000  4 Se 2.72
Se 0.1482 0.6130 0.7611  1 Se 2.37
Se 0.1568 0.8513 0.0081  1 Se 2.37
Se 0.3432 0.3513 0.6944  1 Se 2.37
Se 0.3518 0.1130 0.4648  1 Se 2.37
Se 0.6482 0.8870 0.5352  1 Se 2.37
Se 0.6568 0.6487 0.3056  1 Se 2.37
Se 0.8432 0.1487 0.9919  1 Se 2.37
Se 0.8518 0.3870 0.2389  1 Se 2.37

=====

A geometry-optimized Y3Np3ScSe8 structure. Source: Alexandria via LeMat-Bulk, functional GGA-PBE.

Computed properties:
As for the density of states at the Fermi level: 33.6 states/eV/f.u. The mass density comes out at 7.20 g cm⁻³. For the uncorrected formation energy, the calculation gives -1.509 eV/atom. The crystal system is trigonal.

a = 8.1342 Å, b = 8.1342 Å, c = 8.1342 Å
α = 60.12°, β = 60.12°, γ = 60.12°
Closest atoms and distances in Å follow each position.
Fractional positions:
Y 0.0000 0.5000 0.5000  6 Se 2.87
Y 0.5000 0.0000 0.5000  6 Se 2.87
Y 0.5000 0.5000 0.0000  6 Se 2.87
Np 0.0000 0.0000 0.5000  6 Se 2.88-2.89
Np 0.0000 0.5000 0.0000  6 Se 2.88-2.89
Np 0.5000 0.0000 0.0000  6 Se 2.88-2.89
Sc 0.0000 0.0000 0.0000  6 Se 2.82
Se 0.2446 0.2446 0.7537  1 Sc 2.82, 2 Y 2.87, 2 Np 2.89
Se 0.2446 0.7537 0.2446  1 Sc 2.82, 2 Y 2.87, 2 Np 2.89
Se 0.2463 0.7554 0.7554  1 Sc 2.82, 2 Y 2.87, 2 Np 2.89
Se 0.2505 0.2505 0.2505  3 Y 2.87, 3 Np 2.88
Se 0.7495 0.7495 0.7495  3 Y 2.87, 3 Np 2.88
Se 0.7537 0.2446 0.2446  1 Sc 2.82, 2 Y 2.87, 2 Np 2.89
Se 0.7554 0.2463 0.7554  1 Sc 2.82, 2 Y 2.87, 2 Np 2.89
Se 0.7554 0.7554 0.2463  1 Sc 2.82, 2 Y 2.87, 2 Np 2.89

=====

A geometry-optimized ScBiH2 structure. Source: Alexandria via LeMat-Bulk, functional GGA-PBE.

Computed properties:
As for the density of states at the Fermi level: 1.1 states/eV/f.u. As for the energy above the most stable polymorph in this dataset: 0.347 eV/atom. The mass density comes out at 7.09 g cm⁻³. The crystal system is orthorhombic.

a = 4.3463 Å, b = 3.7162 Å, c = 3.7162 Å
α = 92.84°, β = 90.00°, γ = 90.00°
Closest atoms and distances in Å follow each position.
Fractional positions:
Sc 0.0000 0.0000 0.0000  4 H 1.90-1.91
Bi 0.5000 0.4903 0.4903  4 H 2.63
H 0.0000 0.4935 0.8909  2 Sc 1.90-1.91
H 0.0000 0.8909 0.4935  2 Sc 1.90-1.91

=====

A geometry-optimized CuAs2W structure. Source: Alexandria via LeMat-Bulk, functional GGA-PBE.

Computed properties:
For the calculated formation energy, the calculation gives 0.3295 eV per atom. As for the density of states at the Fermi level: 3.1 states/eV/f.u. As for the energy above the most stable polymorph in this dataset: 0.196 eV/atom. The mass density comes out at 10.17 g cm⁻³. The crystal system is monoclinic.

a = 4.5488 Å, b = 4.5488 Å, c = 4.9323 Å
α = 95.00°, β = 95.00°, γ = 39.64°
Closest atoms and distances in Å follow each position.
Fractional positions:
Cu 0.0000 0.0000 0.0000  2 As 2.43
As 0.2217 0.2217 0.7247  1 Cu 2.43, 3 W 2.61-2.72
As 0.7783 0.7783 0.2753  1 Cu 2.43, 3 W 2.61-2.72
W 0.5000 0.5000 0.5000  6 As 2.61-2.72, 4 Cu 2.91

=====

A geometry-optimized BaSr structure. Source: Alexandria via LeMat-Bulk, functional GGA-PBE.

Computed properties:
For the calculated formation energy, the calculation gives 0.0051 eV per atom. As for the density of states at the Fermi level: 3.0 states/eV/f.u. As for the energy above the most stable polymorph in this dataset: 0.005 eV/atom. The mass density comes out at 3.19 g cm⁻³. The crystal system is cubic.

a = 4.8936 Å, b = 4.8936 Å, c = 4.8936 Å
α = 90.00°, β = 90.00°, γ = 90.00°
Closest atoms and distances in Å follow each position.
Fractional positions:
Ba 0.0000 0.0000 0.0000  8 Sr 4.24
Sr 0.5000 0.5000 0.5000  8 Ba 4.24

=====

A geometry-optimized BaSr2PbF8 structure. Source: Alexandria via LeMat-Bulk, functional GGA-PBE.

Computed properties:
As for the density of states at the Fermi level: 0.0 states/eV/f.u. The mass density comes out at 5.17 g cm⁻³. For the uncorrected formation energy, the calculation gives -3.539 eV/atom. The crystal system is orthorhombic.

a = 4.2432 Å, b = 6.0238 Å, c = 8.4487 Å
α = 90.00°, β = 90.00°, γ = 90.00°
Closest atoms and distances in Å follow each position.
Fractional positions:
Ba 0.0000 0.0000 0.0000  8 F 2.66-2.68
Sr 0.5000 0.5000 0.2547  8 F 2.55-2.57
Sr 0.5000 0.5000 0.7453  8 F 2.55-2.57
Pb 0.0000 0.0000 0.5000  8 F 2.58-2.61
F 0.0000 0.2608 0.2576  2 Sr 2.56, 1 Pb 2.58, 1 Ba 2.68
F 0.0000 0.2608 0.7424  2 Sr 2.56, 1 Pb 2.58, 1 Ba 2.68
F 0.0000 0.7392 0.2576  2 Sr 2.56, 1 Pb 2.58, 1 Ba 2.68
F 0.0000 0.7392 0.7424  2 Sr 2.56, 1 Pb 2.58, 1 Ba 2.68
F 0.5000 0.2527 0.5000  2 Sr 2.55, 2 Pb 2.61
F 0.5000 0.2668 0.0000  2 Sr 2.57, 2 Ba 2.66, 1 F 2.81
F 0.5000 0.7332 0.0000  2 Sr 2.57, 2 Ba 2.66, 1 F 2.81
F 0.5000 0.7473 0.5000  2 Sr 2.55, 2 Pb 2.61

=====

A geometry-optimized Ti2AgAu2 structure. Source: Alexandria via LeMat-Bulk, functional GGA-PBE.

Computed properties:
For the calculated formation energy, the calculation gives -0.0786 eV per atom. As for the density of states at the Fermi level: 4.5 states/eV/f.u. As for the energy above the most stable polymorph in this dataset: 0.127 eV/atom. The mass density comes out at 10.86 g cm⁻³. The crystal system is tetragonal.

a = 8.0410 Å, b = 8.0410 Å, c = 2.8262 Å
α = 90.00°, β = 90.00°, γ = 90.00°
Closest atoms and distances in Å follow each position.
Fractional positions:
Ti 0.1438 0.3562 0.0000  6 Au 2.73-2.76, 2 Ti 2.83
Ti 0.3562 0.8562 0.0000  6 Au 2.73-2.76, 2 Ti 2.83
Ti 0.6438 0.1438 0.0000  6 Au 2.73-2.76, 2 Ti 2.83
Ti 0.8562 0.6438 0.0000  6 Au 2.73-2.76, 2 Ti 2.83
Ag 0.0000 0.0000 0.0000  2 Ag 2.83, 4 Ti 3.09
Ag 0.5000 0.5000 0.0000  2 Ag 2.83, 4 Ti 3.09
Au 0.1510 0.6510 0.5000  6 Ti 2.73-2.76, 2 Au 2.83
Au 0.3490 0.1510 0.5000  6 Ti 2.73-2.76, 2 Au 2.83
Au 0.6510 0.8490 0.5000  6 Ti 2.73-2.76, 2 Au 2.83
Au 0.8490 0.3490 0.5000  6 Ti 2.73-2.76, 2 Au 2.83

=====

A geometry-optimized HoThSi2Ni2 structure. Source: Alexandria via LeMat-Bulk, functional GGA-PBE.

Computed properties:
As for the density of states at the Fermi level: 5.4 states/eV/f.u. The mass density comes out at 8.44 g cm⁻³. For the uncorrected formation energy, the calculation gives -0.810 eV/atom. The crystal system is trigonal.

a = 4.0419 Å, b = 4.0419 Å, c = 7.9362 Å
α = 90.00°, β = 90.00°, γ = 120.00°
Closest atoms and distances in Å follow each position.
Fractional positions:
Ho 0.0000 0.0000 0.0000  6 Si 3.02, 6 Ni 3.02
Th 0.0000 0.0000 0.5000  6 Ni 3.11, 6 Si 3.11
Si 0.3333 0.6667 0.7587  3 Ni 2.33
Si 0.6667 0.3333 0.2413  3 Ni 2.33
Ni 0.3333 0.6667 0.2413  3 Si 2.33
Ni 0.6667 0.3333 0.7587  3 Si 2.33

=====

> What is the formula in the ninth record?

BaSr